This record from the Alexandria database describes an optimized crystal structure of TaTiCrO6. The functional is PBE with a Hubbard U.

Output
- Energy above the most stable polymorph in this dataset: 0.0 kJ/mol of atoms
- DOS at the Fermi energy: 0.0 states/eV per cell

Lattice parameters (Å, degrees): 4.6916 4.6916 9.0830 90.00 90.00 90.00
With the nearest neighbours (Å) after each atom.
Atoms (fractional coordinates):
1 Ta 0.0000 0.0000 0.8339  6 O 1.99-2.02
2 Ta 0.5000 0.5000 0.3339  6 O 1.99-2.02
3 O 0.6937 0.6937 0.1659  1 Ti 1.99, 1 Ta 2.00, 1 Cr 2.03
4 O 0.3011 0.3011 0.4972  1 Ta 1.99, 1 Ti 2.00, 1 Cr 2.03
5 O 0.3063 0.3063 0.1659  1 Ti 1.99, 1 Ta 2.00, 1 Cr 2.03
6 O 0.6954 0.6954 0.8374  1 Ti 1.95, 1 Cr 2.02, 1 Ta 2.02
7 O 0.1954 0.8046 0.3374  1 Ti 1.95, 1 Cr 2.02, 1 Ta 2.02
8 O 0.6989 0.6989 0.4972  1 Ta 1.99, 1 Ti 2.00, 1 Cr 2.03
9 O 0.3046 0.3046 0.8374  1 Ti 1.95, 1 Cr 2.02, 1 Ta 2.02
10 O 0.8011 0.1989 0.9972  1 Ta 1.99, 1 Ti 2.00, 1 Cr 2.03
11 O 0.8046 0.1954 0.3374  1 Ti 1.95, 1 Cr 2.02, 1 Ta 2.02
12 O 0.1989 0.8011 0.9972  1 Ta 1.99, 1 Ti 2.00, 1 Cr 2.03
13 O 0.8063 0.1937 0.6659  1 Ti 1.99, 1 Ta 2.00, 1 Cr 2.03
14 O 0.1937 0.8063 0.6659  1 Ti 1.99, 1 Ta 2.00, 1 Cr 2.03
15 Cr 0.0000 0.0000 0.1670  6 O 2.02-2.03
16 Cr 0.5000 0.5000 0.6670  6 O 2.02-2.03
17 Ti 0.0000 0.0000 0.4980  6 O 1.95-2.00
18 Ti 0.5000 0.5000 0.9980  6 O 1.95-2.00

This record from the Alexandria database describes an optimized crystal structure of TaTi2CrO. The functional is PBE with a Hubbard U.

Output
- DOS at the Fermi energy: 5.7 states/eV per cell

Lattice parameters (Å, degrees): 4.4981 4.6333 4.4981 90.00 90.00 90.00
With the nearest neighbours (Å) after each atom.
Atoms (fractional coordinates):
1 Cr 0.0000 0.0000 0.0000  4 Ti 2.25, 2 Ta 2.32
2 O 0.5000 0.5000 0.5000  4 Ta 3.18, 8 Ti 3.23
3 Ta 0.0000 0.5000 0.0000  2 Cr 2.32
4 Ti 0.0000 0.0000 0.5000  2 Cr 2.25
5 Ti 0.5000 0.0000 0.0000  2 Cr 2.25

This record from the Alexandria database describes an optimized crystal structure of TaTlCrO6. The functional is PBE with a Hubbard U.

Lattice parameters (Å, degrees): 4.7981 4.7981 9.5536 90.00 90.00 90.00
With the nearest neighbours (Å) after each atom.
Atoms (fractional coordinates):
1 O 0.7089 0.7089 0.3116  1 Cr 1.97, 1 Ta 1.99
2 O 0.3238 0.3238 0.0015  1 Cr 1.99, 1 Ta 2.01, 1 Tl 2.20
3 O 0.2089 0.7911 0.8116  1 Cr 1.97, 1 Ta 1.99
4 O 0.8238 0.1762 0.5015  1 Cr 1.99, 1 Ta 2.01, 1 Tl 2.20
5 O 0.7811 0.2189 0.1871  1 Cr 1.92, 1 Ta 2.04
6 O 0.2811 0.2811 0.6871  1 Cr 1.92, 1 Ta 2.04
7 O 0.2911 0.2911 0.3116  1 Cr 1.97, 1 Ta 1.99
8 O 0.7911 0.2089 0.8116  1 Cr 1.97, 1 Ta 1.99
9 O 0.6762 0.6762 0.0015  1 Cr 1.99, 1 Ta 2.01, 1 Tl 2.20
10 O 0.2189 0.7811 0.1871  1 Cr 1.92, 1 Ta 2.04
11 O 0.7189 0.7189 0.6871  1 Cr 1.92, 1 Ta 2.04
12 O 0.1762 0.8238 0.5015  1 Cr 1.99, 1 Ta 2.01, 1 Tl 2.20
13 Cr 0.0000 0.0000 0.6679  6 O 1.92-1.99
14 Cr 0.5000 0.5000 0.1679  6 O 1.92-1.99
15 Tl 0.0000 0.0000 0.9988  6 O 2.20-2.33
16 Tl 0.5000 0.5000 0.4988  6 O 2.20-2.33
17 Ta 0.5000 0.5000 0.8329  6 O 1.99-2.04
18 Ta 0.0000 0.0000 0.3329  6 O 1.99-2.04

This record from the Alexandria database describes an optimized crystal structure of TaTlCr2O8. The functional is PBE with a Hubbard U.

Output
- DOS at the Fermi energy: 0.5 states/eV per cell

Lattice parameters (Å, degrees): 5.4257 5.4257 8.1138 86.71 86.71 63.08
With the nearest neighbours (Å) after each atom.
Atoms (fractional coordinates):
1 Cr 0.6378 0.6378 0.2154  4 O 1.63-1.77
2 Cr 0.3622 0.3622 0.7846  4 O 1.63-1.77
3 O 0.6873 0.6873 0.4042  1 Cr 1.63
4 O 0.7932 0.2857 0.1696  1 Cr 1.76
5 O 0.3127 0.3127 0.5958  1 Cr 1.63
6 O 0.2857 0.7932 0.1696  1 Cr 1.76
7 O 0.2068 0.7143 0.8304  1 Cr 1.76
8 O 0.7143 0.2068 0.8304  1 Cr 1.76
9 O 0.7976 0.7976 0.0833  1 Cr 1.77, 1 Ta 1.95
10 O 0.2024 0.2024 0.9167  1 Cr 1.77, 1 Ta 1.95
11 Ta 0.0000 0.0000 0.0000  6 O 1.95-2.01
12 Tl 0.0000 0.0000 0.5000  6 O 3.02-3.04

This record from the Alexandria database describes an optimized crystal structure of TaTl2CrO6. The functional is PBE with a Hubbard U.

Output
- DOS at the Fermi energy: 3.3 states/eV per cell

Lattice parameters (Å, degrees): 5.6548 5.6548 5.6548 60.00 60.00 60.00
With the nearest neighbours (Å) after each atom.
Atoms (fractional coordinates):
1 Tl 0.2500 0.2500 0.2500  12 O 2.83
2 Tl 0.7500 0.7500 0.7500  12 O 2.83
3 O 0.2503 0.7497 0.7497  1 Cr 2.00, 1 Ta 2.00
4 O 0.7497 0.7497 0.2503  1 Cr 2.00, 1 Ta 2.00
5 O 0.7497 0.2503 0.2503  1 Cr 2.00, 1 Ta 2.00
6 O 0.7497 0.2503 0.7497  1 Cr 2.00, 1 Ta 2.00
7 O 0.2503 0.2503 0.7497  1 Cr 2.00, 1 Ta 2.00
8 O 0.2503 0.7497 0.2503  1 Cr 2.00, 1 Ta 2.00
9 Ta 0.0000 0.0000 0.0000  6 O 2.00
10 Cr 0.5000 0.5000 0.5000  6 O 2.00

This record from the Alexandria database describes an optimized crystal structure of Ta2Tl3CrO9. The functional is PBE with a Hubbard U.

Output
- DOS at the Fermi energy: 6.0 states/eV per cell

Lattice parameters (Å, degrees): 5.6987 5.6987 6.9998 90.00 90.00 120.00
With the nearest neighbours (Å) after each atom.
Atoms (fractional coordinates):
1 O 0.8333 0.1667 0.6680  1 Ta 1.97, 1 Cr 2.02
2 O 0.3334 0.1667 0.6680  1 Ta 1.97, 1 Cr 2.02
3 O 0.5000 0.5000 0.0000  2 Ta 2.06
4 O 0.1667 0.8333 0.3320  1 Ta 1.97, 1 Cr 2.02
5 O 0.6666 0.8333 0.3320  1 Ta 1.97, 1 Cr 2.02
6 O 0.1667 0.3334 0.3320  1 Ta 1.97, 1 Cr 2.02
7 O 0.8333 0.6666 0.6680  1 Ta 1.97, 1 Cr 2.02
8 O 0.0000 0.5000 0.0000  2 Ta 2.06
9 O 0.5000 0.0000 0.0000  2 Ta 2.06
10 Tl 0.0000 0.0000 0.0000  12 O 2.85
11 Tl 0.6667 0.3333 0.3367  12 O 2.84-2.87
12 Tl 0.3333 0.6667 0.6633  12 O 2.84-2.87
13 Ta 0.6667 0.3333 0.8237  6 O 1.97-2.06
14 Ta 0.3333 0.6667 0.1763  6 O 1.97-2.06
15 Cr 0.0000 0.0000 0.5000  6 O 2.02

This record from the Alexandria database describes an optimized crystal structure of TaTl2Cr2O6. The functional is PBE with a Hubbard U.

Output
- DOS at the Fermi energy: 1.4 states/eV per cell

Lattice parameters (Å, degrees): 5.2791 5.2791 8.1272 102.48 102.48 119.26
With the nearest neighbours (Å) after each atom.
Atoms (fractional coordinates):
1 O 0.9111 0.5802 0.3625  1 Ta 2.02, 2 Cr 2.03-2.05
2 O 0.2375 0.2375 0.3620  1 Ta 2.02, 2 Cr 2.05
3 O 0.5802 0.9111 0.3625  1 Ta 2.02, 2 Cr 2.03-2.05
4 O 0.7625 0.7625 0.6380  1 Ta 2.02, 2 Cr 2.05
5 O 0.0889 0.4198 0.6375  1 Ta 2.02, 2 Cr 2.03-2.05
6 O 0.4198 0.0889 0.6375  1 Ta 2.02, 2 Cr 2.03-2.05
7 Tl 0.8285 0.1715 0.0000  3 Tl 3.03-3.13, 4 O 3.05-3.08
8 Tl 0.1715 0.8285 0.0000  3 Tl 3.03-3.13, 4 O 3.05-3.08
9 Ta 0.0000 0.0000 0.5000  6 O 2.02
10 Cr 0.6666 0.3334 0.5000  6 O 2.03-2.05
11 Cr 0.3334 0.6666 0.5000  6 O 2.03-2.05

This record from the Alexandria database describes an optimized crystal structure of TmTaCr2O8. The functional is PBE with a Hubbard U.

Lattice parameters (Å, degrees): 4.7235 4.7213 6.2698 91.09 91.09 88.87
With the nearest neighbours (Å) after each atom.
Atoms (fractional coordinates):
1 O 0.6917 0.6922 0.9932  2 Cr 1.98-2.09, 1 Ta 2.08
2 O 0.7940 0.2057 0.2273  1 Cr 1.95, 1 Ta 1.97
3 O 0.6738 0.6745 0.4905  2 Cr 1.88-2.04
4 O 0.3083 0.3078 0.0068  2 Cr 1.98-2.09, 1 Ta 2.08
5 O 0.2051 0.7934 0.2273  1 Cr 1.95, 1 Ta 1.97
6 O 0.3262 0.3255 0.5095  2 Cr 1.88-2.04
7 O 0.2060 0.7943 0.7727  1 Cr 1.95, 1 Ta 1.97
8 O 0.7949 0.2066 0.7727  1 Cr 1.95, 1 Ta 1.97
9 Tm 0.0000 0.0000 0.5000  6 O 2.19-2.20
10 Cr 0.5011 0.5011 0.2497  6 O 1.88-2.09
11 Cr 0.4989 0.4989 0.7503  6 O 1.88-2.09
12 Ta 0.0000 0.0000 0.0000  6 O 1.97-2.08

This record from the Alexandria database describes an optimized crystal structure of TaVCr2O6. The functional is PBE with a Hubbard U.

Lattice parameters (Å, degrees): 5.2141 5.3134 5.6538 60.98 63.27 61.51
With the nearest neighbours (Å) after each atom.
Atoms (fractional coordinates):
1 Cr 0.0319 0.0234 0.9228  5 O 2.05-2.25
2 Cr 0.5135 0.5076 0.4658  6 O 2.02-2.13
3 O 0.9301 0.5911 0.2398  1 Ta 1.96, 1 Cr 2.10
4 O 0.1237 0.4213 0.7527  2 Cr 2.04-2.05, 1 V 2.11, 1 Ta 2.11
5 O 0.2370 0.9285 0.2384  1 Ta 1.97, 1 Cr 2.13
6 O 0.6980 0.1268 0.7576  2 Cr 2.02-2.06, 1 V 2.14, 1 Ta 2.19
7 O 0.5623 0.2378 0.2742  1 Ta 1.92, 1 Cr 2.05
8 O 0.4384 0.6803 0.7499  2 Cr 2.02-2.22, 1 Ta 2.03, 1 V 2.09
9 V 0.8188 0.8233 0.5489  6 O 2.09-2.33
10 Ta 0.3080 0.3215 0.0652  5 O 1.92-2.11

This record from the Alexandria database describes an optimized crystal structure of TaVCr2O. The functional is PBE with a Hubbard U.

Output
- DOS at the Fermi energy: 3.6 states/eV per cell

Lattice parameters (Å, degrees): 4.1294 4.3628 4.1294 90.00 90.00 90.00
With the nearest neighbours (Å) after each atom.
Atoms (fractional coordinates):
1 Cr 0.5000 0.0000 0.0000  2 O 2.06
2 Cr 0.0000 0.0000 0.5000  2 O 2.06
3 O 0.0000 0.0000 0.0000  4 Cr 2.06, 2 Ta 2.18
4 V 0.5000 0.5000 0.5000  4 Ta 2.92, 8 Cr 3.00
5 Ta 0.0000 0.5000 0.0000  2 O 2.18

This record from the Alexandria database describes an optimized crystal structure of Y2TaCrO. The functional is PBE with a Hubbard U.

Output
- DOS at the Fermi energy: 4.3 states/eV per cell

Lattice parameters (Å, degrees): 4.9212 4.0506 4.9212 90.00 90.00 90.00
With the nearest neighbours (Å) after each atom.
Atoms (fractional coordinates):
1 Cr 0.0000 0.5000 0.0000  2 O 2.03
2 Y 0.5000 0.0000 0.0000  2 O 2.46
3 Y 0.0000 0.0000 0.5000  2 O 2.46
4 O 0.0000 0.0000 0.0000  2 Cr 2.03
5 Ta 0.5000 0.5000 0.5000  8 Y 3.19, 4 Cr 3.48

This record from the Alexandria database describes an optimized crystal structure of TaZnCr2O6. The functional is PBE with a Hubbard U.

Lattice parameters (Å, degrees): 5.3974 5.3442 5.4790 64.06 63.45 57.20
With the nearest neighbours (Å) after each atom.
Atoms (fractional coordinates):
1 Cr 0.0158 0.0172 0.9556  6 O 2.02-2.08
2 Cr 0.5260 0.5157 0.4434  4 O 2.06-2.15
3 O 0.2029 0.9119 0.2544  1 Zn 1.98, 2 Cr 2.02-2.07, 1 Ta 2.21
4 O 0.6258 0.2102 0.2437  1 Zn 1.99, 2 Cr 2.02-2.06, 1 Ta 2.15
5 O 0.9455 0.6402 0.2288  1 Zn 1.98, 1 Cr 2.03, 1 Ta 2.04
6 O 0.4316 0.7727 0.7110  1 Ta 1.92, 1 Cr 2.05
7 O 0.0628 0.4205 0.7656  1 Ta 1.91, 1 Cr 2.05
8 O 0.7374 0.1017 0.7353  1 Ta 1.97, 2 Cr 2.08-2.13
9 Ta 0.8122 0.8048 0.5615  4 O 1.91-2.04
10 Zn 0.3017 0.2667 0.1160  3 O 1.98-1.99

no.,E (eV/atom)
1,-8.99
2,-6.53
3,-7.47
4,-7.41
5,-7.00
6,-7.34
7,-7.40
8,-8.25
9,-8.52
10,-7.81
11,-8.04
12,-7.85